# 1
Entry from Alexandria: AgHg2Ru after structural relaxation (PBE).

Lattice parameters (Å, degrees): 9.2895 3.0048 5.5192 90.00 99.96 90.00
Sites, in units of the cell vectors:
Ag  0.0000  0.0000  0.0000
Ag  0.5000  0.5000  0.0000
Hg  0.2459  0.0000  0.7403
Hg  0.2541  0.5000  0.2596
Hg  0.7459  0.5000  0.7403
Hg  0.7541  0.0000  0.2596
Ru  0.0000  0.5000  0.5000
Ru  0.5000  0.0000  0.5000

- space group = C2/m (12)
- DOS at the Fermi energy (states/eV per cell) = 5.339
- relative energy among the computed polymorphs (kcal/mol of atoms) = 1.68
- volume (Å³ per atom) = 18.967
- energy of formation from the pure elements (eV/atom) = 0.458

=====

# 2
Entry from Alexandria: Tl2AgPdF6 after structural relaxation (PBE).

Lattice parameters (Å, degrees): 6.2641 6.2179 10.8079 90.00 125.39 90.00
Sites, in units of the cell vectors:
Tl  0.2487  0.0067  0.2495
Tl  0.2487  0.4933  0.7495
Tl  0.7513  0.5067  0.2505
Tl  0.7513  0.9933  0.7505
Ag  0.5000  0.0000  0.0000
Ag  0.5000  0.5000  0.5000
Pd  0.0000  0.0000  0.5000
Pd  0.0000  0.5000  0.0000
F  0.2068  0.2493  0.9836
F  0.2068  0.2507  0.4836
F  0.2325  0.7251  0.9837
F  0.2325  0.7749  0.4837
F  0.2689  0.0020  0.7369
F  0.2689  0.4980  0.2369
F  0.7311  0.5020  0.7631
F  0.7311  0.9980  0.2631
F  0.7675  0.2251  0.5163
F  0.7675  0.2749  0.0163
F  0.7932  0.7493  0.5164
F  0.7932  0.7507  0.0164

- formation energy from raw total energies (eV/f.u.) = -14.92
- space group = P2_1/c (14)
- DOS at the Fermi energy (states/eV per cell) = 2.943
- volume (Å³ per atom) = 17.159

=====

# 3
Entry from Alexandria: LiTa2Tl after structural relaxation (PBE).

Lattice parameters (Å, degrees): 5.4172 9.3870 2.9244 90.00 90.00 90.00
Sites, in units of the cell vectors:
Li  0.0000  0.0000  0.0000
Li  0.5000  0.5000  0.0000
Ta  0.2500  0.2500  0.5000
Ta  0.2500  0.7500  0.5000
Ta  0.7500  0.2500  0.5000
Ta  0.7500  0.7500  0.5000
Tl  0.0000  0.5000  0.0000
Tl  0.5000  0.0000  0.0000

- space group = Cmmm (65)
- DOS at the Fermi energy (states/eV per cell) = 5.659
- volume (Å³ per atom) = 18.589
- energy of formation from the pure elements (eV/atom) = 0.484

=====

# 4
Entry from Alexandria: BaScAl after structural relaxation (PBE).

Lattice parameters (Å, degrees): 7.4368 7.4368 7.4368 90.00 90.00 90.00
Sites, in units of the cell vectors:
Ba  0.0000  0.0000  0.0000
Ba  0.0000  0.5000  0.5000
Ba  0.5000  0.0000  0.5000
Ba  0.5000  0.5000  0.0000
Sc  0.2500  0.2500  0.2500
Sc  0.2500  0.7500  0.7500
Sc  0.7500  0.2500  0.7500
Sc  0.7500  0.7500  0.2500
Al  0.2500  0.2500  0.7500
Al  0.2500  0.7500  0.2500
Al  0.7500  0.2500  0.2500
Al  0.7500  0.7500  0.7500

- space group = F-43m (216)
- DOS at the Fermi energy (states/eV per cell) = 9.570
- relative energy among the computed polymorphs (kcal/mol of atoms) = 22.28
- volume (Å³ per atom) = 34.275
- energy of formation from the pure elements (eV/atom) = 0.821

=====

# 5
Entry from Alexandria: Cs2SrTlTe after structural relaxation (PBE).

Lattice parameters (Å, degrees): 7.3624 7.3624 6.0835 90.00 90.00 90.00
Sites, in units of the cell vectors:
Cs  0.0000  0.5000  0.0000
Cs  0.5000  0.0000  0.0000
Sr  0.0000  0.0000  0.5000
Tl  0.5000  0.5000  0.0000
Te  0.5000  0.5000  0.5000

- formation energy from raw total energies (eV/f.u.) = -0.11
- space group = P4/mmm (123)
- DOS at the Fermi energy (states/eV per cell) = 2.118
- volume (Å³ per atom) = 65.952

=====

# 6
Entry from Alexandria: Li2H3F6 after structural relaxation (PBE).

Lattice parameters (Å, degrees): 5.2735 5.2735 9.7080 105.84 105.84 59.78
Sites, in units of the cell vectors:
Li  0.1656  0.6657  0.9979
Li  0.3343  0.8344  0.5021
Li  0.6657  0.1656  0.4979
Li  0.8344  0.3343  0.0021
H  0.0662  0.9338  0.7500
H  0.2501  0.4342  0.2494
H  0.4342  0.2501  0.7494
H  0.5658  0.7499  0.2506
H  0.7499  0.5658  0.7506
H  0.9338  0.0662  0.2500
F  0.0418  0.9163  0.6275
F  0.0837  0.9582  0.8725
F  0.1705  0.4160  0.1272
F  0.3302  0.4592  0.3724
F  0.4160  0.1705  0.6272
F  0.4592  0.3302  0.8724
F  0.5408  0.6698  0.1276
F  0.5840  0.8295  0.3728
F  0.6698  0.5408  0.6276
F  0.8295  0.5840  0.8728
F  0.9163  0.0418  0.1275
F  0.9582  0.0837  0.3725

- space group = C2/c (15)
- DOS at the Fermi energy (states/eV per cell) = 15.174
- volume (Å³ per atom) = 10.065
- energy (eV/atom) = -4.19